1.
DFT (PBE+U) results for a relaxed structure of Mn3P2O8.

Cell and atoms, written as POSCAR:
```
Mn3P2O8
1.0
8.9014 0.0000 0.0000
0.0000 11.6681 0.0000
-0.9744 0.0000 6.2643
Mn P O
12 8 32
Cartesian
0.4057 1.3395 0.9351 Mn
-0.0815 4.4945 4.0673 Mn
1.7841 0.8421 4.1855 Mn
2.2713 4.9919 1.0534 Mn
2.6435 8.1090 3.9078 Mn
3.1307 9.3931 0.7756 Mn
4.7963 2.2749 5.4887 Mn
5.2835 3.5591 2.3565 Mn
5.6557 6.6761 5.2109 Mn
6.1429 10.8260 2.0788 Mn
8.0085 7.1736 2.1970 Mn
7.5213 10.3285 5.3292 Mn
-0.0876 7.4610 5.5500 P
0.3996 10.0411 2.4178 P
3.3206 0.9927 1.2059 P
2.8334 4.8414 4.3380 P
5.0936 6.8267 1.9263 P
4.6064 10.6754 5.0584 P
7.5273 1.6270 3.8465 P
8.0145 4.2070 0.7143 P
-0.0193 2.3936 3.8017 O
0.4679 3.4404 0.6695 O
-0.0274 6.6264 4.2308 O
0.4599 10.8757 1.0987 O
1.0132 6.6274 0.5827 O
0.5260 10.8747 3.7149 O
1.1022 8.4675 5.4635 O
1.5894 9.0345 2.3314 O
1.4674 0.9573 6.1901 O
1.9546 4.8767 3.0579 O
2.3104 1.4233 2.3024 O
1.8232 4.4107 5.4346 O
3.4533 6.2441 4.6334 O
3.9405 11.2580 1.5013 O
3.9642 7.8857 2.0653 O
3.4769 9.6164 5.1974 O
4.4500 2.0517 1.0669 O
3.9628 3.7824 4.1991 O
3.9864 0.4100 4.7630 O
4.4736 5.4240 1.6309 O
6.1038 7.2573 0.8297 O
5.6166 10.2447 3.9619 O
5.9724 6.7913 3.2064 O
6.4596 10.7108 0.0742 O
6.3375 2.6335 3.9329 O
6.8248 3.2005 0.8008 O
7.4010 0.7934 2.5494 O
6.9138 5.0406 5.6816 O
7.4671 0.7924 5.1656 O
7.9543 5.0416 2.0335 O
7.4591 8.2277 5.5948 O
7.9463 9.2744 2.4626 O
```

Results
Relative energy among the computed polymorphs = 13.3 meV per atom
V = 12.51 Å³ per atom

=====

2.
DFT (PBE+U) results for a relaxed structure of Mn3P2O8.

Cell and atoms, written as POSCAR:
```
Mn3P2O8
1.0
5.3166 0.0000 0.0000
0.0000 6.7792 0.0000
-4.5241 0.0000 9.0679
Mn P O
6 4 16
Cartesian
0.0000 0.0000 0.0000 Mn
-2.2620 3.3896 4.5339 Mn
-0.1595 1.0679 3.3712 Mn
-2.4216 2.3217 7.9051 Mn
3.2141 4.4575 1.1628 Mn
0.9520 5.7113 5.6967 Mn
0.4305 4.5257 2.7906 P
-1.8316 5.6431 7.3245 P
2.6241 1.1361 1.7433 P
0.3620 2.2535 6.2772 P
0.0349 4.8142 1.3177 O
-2.2272 5.3546 5.8516 O
-2.6533 0.0848 7.8279 O
-0.3913 3.3048 3.2940 O
1.0872 0.8691 1.6557 O
-1.1749 2.5205 6.1896 O
-2.1595 4.4452 8.2656 O
0.1025 5.7236 3.7317 O
0.6900 1.0556 5.3362 O
2.9521 2.3340 0.8022 O
1.9674 4.2587 2.8782 O
-0.2946 5.9101 7.4121 O
1.1838 3.4744 5.7739 O
3.4458 6.6944 1.2399 O
3.0197 1.4246 3.2163 O
0.7577 1.9650 7.7502 O
```

Results
Relative energy among the computed polymorphs = 6.5 meV per atom
V = 12.57 Å³ per atom

=====

3.
DFT (PBE+U) results for a relaxed structure of Mn4P3O12.

Cell and atoms, written as POSCAR:
```
Mn4P3O12
1.0
9.9798 0.0000 0.0000
0.0000 16.4017 0.0000
0.0000 0.0000 6.3912
Mn P O
16 12 48
Cartesian
0.1090 2.2812 0.0000 Mn
0.5076 9.7381 3.1956 Mn
2.3699 4.9039 1.5813 Mn
2.3699 4.9039 4.8099 Mn
2.6200 13.1047 1.6143 Mn
2.6200 13.1047 4.7769 Mn
4.4823 1.5373 0.0000 Mn
4.8809 10.4821 3.1956 Mn
5.0989 5.9196 3.1956 Mn
5.4975 14.8645 0.0000 Mn
7.3598 3.2970 1.6143 Mn
7.3598 3.2970 4.7769 Mn
7.6099 11.4979 1.5813 Mn
7.6099 11.4979 4.8099 Mn
9.4722 6.6636 3.1956 Mn
9.8708 14.1205 0.0000 Mn
0.2880 3.6248 3.1956 P
0.5519 10.8296 0.0000 P
2.1480 15.8622 0.0000 P
2.8419 7.6613 3.1956 P
4.4380 2.6287 3.1956 P
4.7019 11.8256 0.0000 P
5.2779 4.5761 0.0000 P
5.5418 13.7730 3.1956 P
7.1379 8.7404 3.1956 P
7.8318 0.5395 0.0000 P
9.4279 5.5722 0.0000 P
9.6918 12.7769 3.1956 P
0.8106 5.1716 3.1956 O
0.8774 3.0730 1.8970 O
0.8774 3.0730 4.4942 O
0.9624 10.0813 1.2813 O
0.9624 10.0813 5.1099 O
0.9889 5.3066 0.0000 O
1.2589 12.6877 3.1956 O
1.2673 7.9066 3.1956 O
1.2847 12.2551 0.0000 O
1.5290 0.8397 0.0000 O
1.7448 14.9865 1.2242 O
1.7448 14.9865 5.1670 O
3.2451 6.7856 1.9714 O
3.2451 6.7856 4.4198 O
3.4609 9.0405 3.1956 O
3.7052 4.0542 3.1956 O
3.7226 16.1074 0.0000 O
3.7310 4.4869 0.0000 O
4.0010 13.5074 3.1956 O
4.0275 1.8804 1.9143 O
4.0275 1.8804 4.4769 O
4.1125 11.2738 1.2986 O
4.1125 11.2738 5.0926 O
4.1793 13.3724 0.0000 O
5.8005 3.0293 0.0000 O
5.8673 5.1279 1.2986 O
5.8673 5.1279 5.0926 O
5.9523 14.5213 1.9143 O
5.9523 14.5213 4.4769 O
5.9788 2.8943 3.1956 O
6.2488 11.9148 0.0000 O
6.2572 0.2943 0.0000 O
6.2746 12.3475 3.1956 O
6.5189 7.3612 3.1956 O
6.7347 9.6161 1.9714 O
6.7347 9.6161 4.4198 O
8.2350 1.4152 1.2242 O
8.2350 1.4152 5.1670 O
8.4508 15.5621 0.0000 O
8.6951 4.1467 0.0000 O
8.7125 8.4952 3.1956 O
8.7209 3.7140 3.1956 O
8.9909 11.0951 0.0000 O
9.0174 6.3204 1.2813 O
9.0174 6.3204 5.1099 O
9.1024 13.3287 1.8970 O
9.1024 13.3287 4.4942 O
9.1692 11.2301 3.1956 O
```

Results
Relative energy among the computed polymorphs = 0.0 meV per atom
V = 13.77 Å³ per atom

=====

Question: The highest V belongs to which entry?
Answer: Mn4P3O12

=====

Question: Among the records above, which one has the highest relative energy among the computed polymorphs?
Answer: number 1